Entry 1:
First-principles (PBE) data for a relaxed structure of BaAl6Zn12, as listed in Alexandria via LeMat-Bulk.

## Properties
DOS at the Fermi energy = 0.28 states/eV per atom
Uncorrected energy = -2.0629 eV/atom
ΔH_f (0 K) = 0.025 eV per atom

Unit cell a=11.4417 b=11.4417 c=9.3177 alpha=90.00 beta=90.00 gamma=120.00
With the nearest neighbours (Å) after each atom.
Space group R-3m (No. 166, hexagonal axes)
One atom of each set of equivalent atoms:
1 Ba 0.0000 0.0000 0.0000 (multiplicity 3)  6 Zn 3.27
2 Al 0.0568 0.5284 0.2341 (multiplicity 18)  8 Zn 2.60-2.90
3 Zn 0.0000 0.3922 0.5000 (multiplicity 18)  1 Zn 2.47, 2 Al 2.60
4 Zn 0.0840 0.1681 0.3018 (multiplicity 18)  4 Al 2.68-2.90, 4 Zn 2.78-2.88

***

Entry 2:
First-principles (PBE) data for a relaxed structure of Ba6AlZn2, as listed in Alexandria via LeMat-Bulk.

## Properties
DOS at the Fermi energy = 1.25 states/eV per atom
Uncorrected energy = -2.0539 eV/atom
ΔH_f (0 K) = -0.073 eV per atom

Unit cell a=11.1969 b=11.8030 c=11.8971 alpha=90.00 beta=90.00 gamma=90.00
With the nearest neighbours (Å) after each atom.
Space group Immm (No. 71)
One atom of each set of equivalent atoms:
1 Ba 0.0000 0.2491 0.1822 (multiplicity 8)  1 Zn 3.49, 2 Al 3.65-3.67
2 Ba 0.1985 0.3343 0.5000 (multiplicity 8)  3 Zn 3.46-3.54
3 Ba 0.2353 0.0000 0.3280 (multiplicity 8)  3 Zn 3.55-3.58, 1 Al 3.60
4 Al 0.0000 0.0000 0.0000 (multiplicity 2)  8 Ba 3.65-3.90
5 Al 0.0000 0.5000 0.0000 (multiplicity 2)  8 Ba 3.60-3.67, 2 Zn 4.01
6 Zn 0.0000 0.1093 0.5000 (multiplicity 4)  1 Zn 2.58
7 Zn 0.0000 0.5000 0.3368 (multiplicity 4)  8 Ba 3.49-3.55, 1 Zn 3.88

***

Entry 3:
First-principles (PBE) data for a relaxed structure of Ba2AlZn3, as listed in Alexandria via LeMat-Bulk.

## Properties
DOS at the Fermi energy = 0.75 states/eV per atom
Uncorrected energy = -2.0888 eV/atom
ΔH_f (0 K) = -0.187 eV per atom
Energy above the lowest structure with this stoichiometry = 0 meV/atom

Unit cell a=11.3614 b=4.7303 c=8.2189 alpha=90.00 beta=130.49 gamma=90.00
With the nearest neighbours (Å) after each atom.
Space group Cm (No. 8)
One atom of each set of equivalent atoms:
1 Ba 0.0000 0.0000 0.0000 (multiplicity 2)  7 Zn 3.41-3.69, 3 Al 3.63-3.66, 1 Ba 3.80
2 Ba 0.1098 0.0000 0.6514 (multiplicity 2)  7 Zn 3.37-3.67, 3 Al 3.51-3.67
3 Al 0.4032 0.0000 0.2380 (multiplicity 2)  4 Zn 2.66-2.76
4 Zn 0.2020 0.5000 0.4117 (multiplicity 2)  1 Al 2.70, 3 Zn 2.70-2.87
5 Zn 0.2638 0.5000 0.1242 (multiplicity 2)  2 Al 2.66, 1 Zn 2.87
6 Zn 0.3502 0.0000 0.5217 (multiplicity 2)  2 Zn 2.70, 1 Al 2.76

***

Entry 4:
First-principles (PBE) data for a relaxed structure of BaAl2Zn9, as listed in Alexandria via LeMat-Bulk.

## Properties
DOS at the Fermi energy = 0.42 states/eV per atom
Uncorrected energy = -1.8729 eV/atom
ΔH_f (0 K) = -0.133 eV per atom

Unit cell a=10.8368 b=10.8368 c=7.2292 alpha=90.00 beta=90.00 gamma=90.00
With the nearest neighbours (Å) after each atom.
Space group I4_1/amd (No. 141, origin choice 2)
One atom of each set of equivalent atoms:
1 Ba 0.0000 0.2500 0.3750 (multiplicity 4)  18 Zn 3.41-3.61
2 Al 0.0000 0.0000 0.0000 (multiplicity 8)  10 Zn 2.68-2.86
3 Zn 0.0000 0.2500 0.8750 (multiplicity 4)  4 Al 2.86, 8 Zn 2.97
4 Zn 0.1230 0.0432 0.6785 (multiplicity 32)  7 Zn 2.67-2.97, 2 Al 2.68-2.72

***

Entry 5:
First-principles (PBE) data for a relaxed structure of Ba2Al3Zn5, as listed in Alexandria via LeMat-Bulk.

## Properties
DOS at the Fermi energy = 0.62 states/eV per atom
Uncorrected energy = -2.3396 eV/atom
ΔH_f (0 K) = -0.195 eV per atom

Unit cell a=4.6583 b=4.6583 c=10.5956 alpha=90.00 beta=90.00 gamma=90.00
With the nearest neighbours (Å) after each atom.
Space group P-4m2 (No. 115)
One atom of each set of equivalent atoms:
1 Ba 0.0000 0.5000 0.2450 (multiplicity 2)  11 Zn 3.49-3.81, 6 Al 3.53-3.57
2 Al 0.0000 0.5000 0.6345 (multiplicity 2)  3 Zn 2.65-2.73, 2 Al 2.73
3 Al 0.5000 0.5000 0.5000 (multiplicity 1)  4 Al 2.73
4 Zn 0.0000 0.0000 0.0000 (multiplicity 1)  4 Zn 2.63
5 Zn 0.0000 0.0000 0.5000 (multiplicity 1)  4 Al 2.73
6 Zn 0.0000 0.5000 0.8850 (multiplicity 2)  4 Zn 2.63, 1 Al 2.65
7 Zn 0.5000 0.5000 0.0000 (multiplicity 1)  4 Zn 2.63

***

Entry 6:
First-principles (PBE) data for a relaxed structure of Ba2Al2Zn, as listed in Alexandria via LeMat-Bulk.

## Properties
DOS at the Fermi energy = 1.10 states/eV per atom
Uncorrected energy = -2.5095 eV/atom
ΔH_f (0 K) = 0.011 eV per atom

Unit cell a=7.3441 b=7.3441 c=5.5849 alpha=90.00 beta=90.00 gamma=90.00
With the nearest neighbours (Å) after each atom.
Space group P4/mbm (No. 127)
One atom of each set of equivalent atoms:
1 Ba 0.1758 0.3242 0.0000 (multiplicity 4)  6 Al 3.43-3.61, 5 Ba 3.65-3.83
2 Al 0.1316 0.6316 0.5000 (multiplicity 4)  1 Al 2.73, 2 Zn 2.87
3 Zn 0.0000 0.0000 0.5000 (multiplicity 2)  4 Al 2.87